No. 1
Tb5Zn3 | PBE | optimized geometry

It has space group P4/mmm (No. 123), with a = 3.590 Å, b = 3.590 Å, c = 15.792 Å, α = 90.00°, β = 90.00° and γ = 90.00°. Symmetry generates all atoms from Tb at (0.000, 0.000, 0.000), Tb at (0.000, 0.000, 0.224), Tb at (0.500, 0.500, 0.389), Zn at (0.000, 0.000, 0.500) and Zn at (0.500, 0.500, 0.113).

The calculation puts the density of states at the Fermi level at 1.158 states/eV/atom. The volume is 25.445 A^3/atom. The calculated formation energy comes out at -0.25 eV/atom.

***

No. 2
BeGe2PPb | PBE | optimized geometry

It has space group P4/mmm (No. 123), with a = 4.712 Å, b = 4.712 Å, c = 5.628 Å, α = 90.00°, β = 90.00° and γ = 90.00°. Symmetry generates all atoms from Be at (0.000, 0.000, 0.000), Ge at (0.000, 0.500, 0.500), P at (0.500, 0.500, 0.500) and Pb at (0.500, 0.500, 0.000).

The calculation puts the density of states at the Fermi level at 0.852 states/eV/atom. The volume is 24.995 A^3/atom. The calculated formation energy comes out at 0.98 eV/atom.

***

No. 3
Pa2SiTc2 | PBE | optimized geometry

It has space group Cmc2_1 (No. 36), with a = 4.090 Å, b = 13.467 Å, c = 7.398 Å, α = 90.00°, β = 90.00° and γ = 90.00°. Symmetry generates all atoms from Pa at (0.000, 0.046, 0.000), Pa at (0.000, 0.217, 0.399), Si at (0.000, 0.416, 0.155), Tc at (0.000, 0.179, 0.745) and Tc at (0.000, 0.402, 0.787).

The calculation puts the density of states at the Fermi level at 0.856 states/eV/atom. For the formation energy without anion corrections, the calculation gives -279 meV per atom. The volume is 20.373 A^3/atom.

***

Which of these has the lowest volume? Pa2SiTc2

***

Look up the volume of the second one. 24.995 A^3/atom

***

volume of number 2 (BeGe2PPb)? 24.995 A^3/atom

***

Among the records above, which one has the lowest volume? Pa2SiTc2